A.
A plane-wave DFT calculation with GGA-PBE was carried out for a geometry-optimized Sr2ZnBiP structure.

Cell lengths 4.5285, 7.7096, 9.4962 Å; angles 106.94, 90.00, 90.00 degrees
Closest atoms and distances in Å follow each position.
Positions (direct):
Bi  0.2500  0.6965  0.3018  2 Zn 2.77
Bi  0.7500  0.3035  0.6982  2 Zn 2.77
P  0.7500  0.1714  0.1762  1 Zn 2.29
P  0.2500  0.8286  0.8238  1 Zn 2.29
Sr  0.7500  0.8049  0.6089  2 P 3.02
Sr  0.7500  0.7773  0.0262  3 P 2.96-3.07
Sr  0.2500  0.2227  0.9738  3 P 2.96-3.07
Sr  0.2500  0.1951  0.3911  2 P 3.02
Zn  0.2500  0.5189  0.7412  1 P 2.29
Zn  0.7500  0.4811  0.2588  1 P 2.29

Properties
**DOS at the Fermi energy**: 0.07 states/eV per cell
**Symmetry**: P2_1/m, No. 11

***

B.
A plane-wave DFT calculation with GGA-PBE was carried out for a geometry-optimized Sr2ZnBiP structure.

Cell lengths 5.9423, 5.9423, 4.5267 Å; angles 90.00, 90.00, 90.00 degrees
Closest atoms and distances in Å follow each position.
Positions (direct):
Sr  0.0000  0.5000  0.0000  2 P 2.97
Sr  0.5000  0.0000  0.0000  2 P 2.97
Bi  0.5000  0.5000  0.5000  8 Sr 3.74
P  0.0000  0.0000  0.0000  2 Zn 2.26
Zn  0.0000  0.0000  0.5000  2 P 2.26

Properties
**DOS at the Fermi energy**: 0.71 states/eV per cell
**Symmetry**: P4/mmm, No. 123

***

Stability summary: most stable A, least stable B.

***

A.
A plane-wave DFT calculation with GGA-PBE was carried out for a geometry-optimized Ta2Bi2P structure.

Cell lengths 4.1406, 4.1406, 7.7625 Å; angles 74.53, 74.53, 90.00 degrees
Closest atoms and distances in Å follow each position.
Positions (direct):
Ta  0.4139  0.4139  0.1722  1 Ta 2.48
Ta  0.5861  0.5861  0.8278  1 Ta 2.48
Bi  0.2500  0.7500  0.5000  4 Bi 2.93, 4 Ta 3.14
Bi  0.7500  0.2500  0.5000  4 Bi 2.93, 4 Ta 3.14
P  0.0000  0.0000  0.0000  8 Ta 3.18

Properties
**DOS at the Fermi energy**: 4.96 states/eV per cell
**Symmetry**: I4/mmm, No. 139

***

B.
A plane-wave DFT calculation with GGA-PBE was carried out for a geometry-optimized Ta2Bi2P structure.

Cell lengths 6.4759, 6.4759, 5.4236 Å; angles 90.00, 90.00, 90.00 degrees
Closest atoms and distances in Å follow each position.
Positions (direct):
Ta  0.1556  0.3444  0.0000  2 P 2.45
Ta  0.6556  0.1556  0.0000  2 P 2.45
Ta  0.3444  0.8444  0.0000  2 P 2.45
Ta  0.8444  0.6556  0.0000  2 P 2.45
Bi  0.8164  0.3164  0.5000  2 Ta 3.09, 5 Bi 3.35-3.36
Bi  0.6836  0.8164  0.5000  2 Ta 3.09, 5 Bi 3.35-3.36
Bi  0.1836  0.6836  0.5000  2 Ta 3.09, 5 Bi 3.35-3.36
Bi  0.3164  0.1836  0.5000  2 Ta 3.09, 5 Bi 3.35-3.36
P  0.5000  0.5000  0.0000  4 Ta 2.45
P  0.0000  0.0000  0.0000  4 Ta 2.45

Properties
**DOS at the Fermi energy**: 9.11 states/eV per cell
**Symmetry**: P4/mbm, No. 127

***

Stability summary: most stable B, least stable A.

***

A.
A plane-wave DFT calculation with GGA-PBE was carried out for a geometry-optimized Tc3BiP structure.

Cell lengths 4.4913, 4.4913, 4.4913 Å; angles 90.00, 90.00, 90.00 degrees
Closest atoms and distances in Å follow each position.
Positions (direct):
Tc  0.0000  0.0000  0.5000  2 P 2.25
Tc  0.5000  0.0000  0.0000  2 P 2.25
Tc  0.0000  0.5000  0.0000  2 P 2.25
Bi  0.5000  0.5000  0.5000  12 Tc 3.18
P  0.0000  0.0000  0.0000  6 Tc 2.25

Properties
**DOS at the Fermi energy**: 3.49 states/eV per cell
**Symmetry**: Pm-3m, No. 221

***

B.
A plane-wave DFT calculation with GGA-PBE was carried out for a geometry-optimized Tc3BiP structure.

Cell lengths 5.0826, 5.0826, 5.0826 Å; angles 90.00, 90.00, 90.00 degrees
Closest atoms and distances in Å follow each position.
Positions (direct):
Tc  0.0000  0.5000  0.0000  2 Bi 2.54
Tc  0.0000  0.0000  0.5000  2 Bi 2.54
Tc  0.5000  0.0000  0.0000  2 Bi 2.54
P  0.5000  0.5000  0.5000  12 Tc 3.59
Bi  0.0000  0.0000  0.0000  6 Tc 2.54

Properties
**DOS at the Fermi energy**: 7.45 states/eV per cell
**Symmetry**: Pm-3m, No. 221

***

Stability summary: most stable A, least stable B.

***

A.
A plane-wave DFT calculation with GGA-PBE was carried out for a geometry-optimized Tc2BiP structure.

Cell lengths 4.5113, 4.5113, 4.5113 Å; angles 60.00, 60.00, 60.00 degrees
Closest atoms and distances in Å follow each position.
Positions (direct):
Tc  0.7500  0.7500  0.7500  4 Bi 2.76, 4 P 2.76
Tc  0.2500  0.2500  0.2500  4 Bi 2.76, 4 P 2.76
Bi  0.5000  0.5000  0.5000  8 Tc 2.76
P  0.0000  0.0000  0.0000  8 Tc 2.76

Properties
**DOS at the Fermi energy**: 3.05 states/eV per cell
**Symmetry**: Fm-3m, No. 225

***

B.
A plane-wave DFT calculation with GGA-PBE was carried out for a geometry-optimized Tc2BiP structure.

Cell lengths 5.8298, 5.8298, 6.7785 Å; angles 64.53, 64.53, 90.00 degrees
Closest atoms and distances in Å follow each position.
Positions (direct):
P  0.5000  0.5000  0.0000  4 Tc 2.26
P  0.2500  0.7500  0.5000  4 Tc 2.26
Bi  0.7500  0.2500  0.5000  4 Tc 2.70
Bi  0.0000  0.0000  0.0000  4 Tc 2.70
Tc  0.3750  0.4395  0.7500  2 P 2.26
Tc  0.8750  0.8105  0.7500  2 P 2.26
Tc  0.5605  0.1250  0.2500  2 P 2.26
Tc  0.1895  0.6250  0.2500  2 P 2.26

Properties
**DOS at the Fermi energy**: 2.57 states/eV per cell
**Symmetry**: I-42d, No. 122

***

Stability summary: most stable A, least stable B.

***

A.
A plane-wave DFT calculation with GGA-PBE was carried out for a geometry-optimized Bi3TeP structure.

Cell lengths 5.8252, 5.8252, 5.8252 Å; angles 90.00, 90.00, 90.00 degrees
Closest atoms and distances in Å follow each position.
Positions (direct):
Bi  0.5000  0.0000  0.0000  2 Te 2.91
Bi  0.0000  0.0000  0.5000  2 Te 2.91
Bi  0.0000  0.5000  0.0000  2 Te 2.91
P  0.5000  0.5000  0.5000  12 Bi 4.12
Te  0.0000  0.0000  0.0000  6 Bi 2.91

Properties
**DOS at the Fermi energy**: 6.30 states/eV per cell
**Symmetry**: Pm-3m, No. 221

***

B.
A plane-wave DFT calculation with GGA-PBE was carried out for a geometry-optimized Bi3TeP structure.

Cell lengths 5.4461, 5.4461, 5.4461 Å; angles 90.00, 90.00, 90.00 degrees
Closest atoms and distances in Å follow each position.
Positions (direct):
Bi  0.0000  0.5000  0.0000  2 P 2.72
Bi  0.0000  0.0000  0.5000  2 P 2.72
Bi  0.5000  0.0000  0.0000  2 P 2.72
Te  0.5000  0.5000  0.5000  12 Bi 3.85
P  0.0000  0.0000  0.0000  6 Bi 2.72

Properties
**DOS at the Fermi energy**: 4.99 states/eV per cell
**Symmetry**: Pm-3m, No. 221

***

Stability summary: most stable B, least stable A.

***

A.
A plane-wave DFT calculation with GGA-PBE was carried out for a geometry-optimized BiTe2P structure.

Cell lengths 9.8457, 9.8457, 9.8457 Å; angles 22.40, 22.40, 22.40 degrees
Closest atoms and distances in Å follow each position.
Positions (direct):
P  0.5000  0.5000  0.5000  6 Te 2.77
Bi  0.0000  0.0000  0.0000  2 Te 3.13
Te  0.8913  0.8913  0.8913  3 P 2.77
Te  0.1087  0.1087  0.1087  3 P 2.77

Properties
**DOS at the Fermi energy**: 1.31 states/eV per cell
**Symmetry**: R-3m, No. 166

***

B.
A plane-wave DFT calculation with GGA-PBE was carried out for a geometry-optimized BiTe2P structure.

Cell lengths 5.7624, 5.7624, 9.3496 Å; angles 72.05, 72.05, 90.00 degrees
Closest atoms and distances in Å follow each position.
Positions (direct):
Te  0.5702  0.1250  0.2500  2 P 2.79, 2 Bi 3.10
Te  0.1798  0.6250  0.2500  2 P 2.79, 2 Bi 3.10
Te  0.3750  0.4298  0.7500  2 P 2.79, 2 Bi 3.10
Te  0.8750  0.8202  0.7500  2 P 2.79, 2 Bi 3.10
P  0.2500  0.7500  0.5000  4 Te 2.79
P  0.5000  0.5000  0.0000  4 Te 2.79
Bi  0.0000  0.0000  0.0000  4 Te 3.10
Bi  0.7500  0.2500  0.5000  4 Te 3.10

Properties
**DOS at the Fermi energy**: 4.45 states/eV per cell
**Symmetry**: I-42d, No. 122

***

C.
A plane-wave DFT calculation with GGA-PBE was carried out for a geometry-optimized BiTe2P structure.

Cell lengths 11.5756, 11.5756, 11.5756 Å; angles 16.61, 16.61, 16.61 degrees
Closest atoms and distances in Å follow each position.
Positions (direct):
Te  0.0779  0.0779  0.0779  1 P 2.67
Te  0.9221  0.9221  0.9221  1 P 2.67
P  0.0000  0.0000  0.0000  2 Te 2.67
Bi  0.5000  0.5000  0.5000  6 Bi 3.34, 6 Te 3.60

Properties
**DOS at the Fermi energy**: 3.48 states/eV per cell
**Symmetry**: R-3m, No. 166

***

Stability summary: most stable A, least stable C.

***

A.
A plane-wave DFT calculation with GGA-PBE was carried out for a geometry-optimized Ti3BiP structure.

Cell lengths 5.1909, 5.1909, 5.1909 Å; angles 90.00, 90.00, 90.00 degrees
Closest atoms and distances in Å follow each position.
Positions (direct):
Ti  0.0000  0.5000  0.0000  2 Bi 2.60
Ti  0.5000  0.0000  0.0000  2 Bi 2.60
Ti  0.0000  0.0000  0.5000  2 Bi 2.60
P  0.5000  0.5000  0.5000  12 Ti 3.67
Bi  0.0000  0.0000  0.0000  6 Ti 2.60

Properties
**DOS at the Fermi energy**: 6.50 states/eV per cell
**Symmetry**: Pm-3m, No. 221

***

B.
A plane-wave DFT calculation with GGA-PBE was carried out for a geometry-optimized Ti3BiP structure.

Cell lengths 4.6346, 4.6346, 4.6346 Å; angles 90.00, 90.00, 90.00 degrees
Closest atoms and distances in Å follow each position.
Positions (direct):
P  0.0000  0.0000  0.0000  6 Ti 2.32
Ti  0.0000  0.5000  0.0000  2 P 2.32
Ti  0.5000  0.0000  0.0000  2 P 2.32
Ti  0.0000  0.0000  0.5000  2 P 2.32
Bi  0.5000  0.5000  0.5000  12 Ti 3.28

Properties
**DOS at the Fermi energy**: 6.66 states/eV per cell
**Symmetry**: Pm-3m, No. 221

***

Stability summary: most stable B, least stable A.

***

A.
A plane-wave DFT calculation with GGA-PBE was carried out for a geometry-optimized Tl3BiP structure.

Cell lengths 5.3722, 5.3722, 5.3722 Å; angles 90.00, 90.00, 90.00 degrees
Closest atoms and distances in Å follow each position.
Positions (direct):
P  0.0000  0.0000  0.0000  6 Tl 2.69
Tl  0.5000  0.0000  0.0000  2 P 2.69
Tl  0.0000  0.0000  0.5000  2 P 2.69
Tl  0.0000  0.5000  0.0000  2 P 2.69
Bi  0.5000  0.5000  0.5000  12 Tl 3.80

Properties
**DOS at the Fermi energy**: 2.33 states/eV per cell
**Symmetry**: Pm-3m, No. 221

***

B.
A plane-wave DFT calculation with GGA-PBE was carried out for a geometry-optimized Tl3BiP structure.

Cell lengths 5.9674, 5.9674, 5.9674 Å; angles 90.00, 90.00, 90.00 degrees
Closest atoms and distances in Å follow each position.
Positions (direct):
Tl  0.5000  0.0000  0.0000  2 Bi 2.98
Tl  0.0000  0.0000  0.5000  2 Bi 2.98
Tl  0.0000  0.5000  0.0000  2 Bi 2.98
Bi  0.0000  0.0000  0.0000  6 Tl 2.98
P  0.5000  0.5000  0.5000  12 Tl 4.22

Properties
**DOS at the Fermi energy**: 4.56 states/eV per cell
**Symmetry**: Pm-3m, No. 221

***

Stability summary: most stable A, least stable B.